Material: HoB4Os
Method: DFT, GGA-PBE
State: relaxed

```
data_HoB4Os
_cell_length_a 3.1998
_cell_length_b 3.1998
_cell_length_c 6.7749
_cell_angle_alpha 90.00
_cell_angle_beta 90.00
_cell_angle_gamma 120.00
_space_group_name_H-M_alt 'P 6/m m m'
_space_group_IT_number 191
_space_group_name_Hall '-P 6 2'
loop_
_atom_site_label
_atom_site_fract_x
_atom_site_fract_y
_atom_site_fract_z
_atom_site_occupancy
Ho1 0.0000 0.0000 0.0000 1
B1 0.3333 0.6667 0.2782 1
Os1 0.0000 0.0000 0.5000 1
```

## Properties
The raw total energy comes out at -7.238 eV per atom. The calculation puts the spin magnetization at 0.59 μB per cell. As for the energy above the most stable polymorph in this dataset: 437.7 meV per atom.